Entry a
Entry from Alexandria via LeMat-Bulk: a relaxed structure of Hf2CoP (PBE).

```
data_Hf2CoP
_chemical_formula_sum 'Hf6 Co3 P3'
_cell_length_a 3.3504
_cell_length_b 3.3504
_cell_length_c 24.1169
_cell_angle_alpha 90.00
_cell_angle_beta 90.00
_cell_angle_gamma 120.00
_symmetry_space_group_name_H-M 'R -3 m'
_symmetry_Int_Tables_number 166
_symmetry_space_group_name_Hall '-R 3 2"'
loop_
_atom_site_label
_atom_site_type_symbol
_atom_site_fract_x
_atom_site_fract_y
_atom_site_fract_z
Hf1 Hf 0.0000 0.0000 0.0996
Co1 Co 0.0000 0.0000 0.0000
P1 P 0.0000 0.0000 0.5000
```

Values from the calculation:
As for the magnetic moment: 0.74 μB/f.u.

---

Entry b
Entry from Alexandria via LeMat-Bulk: a relaxed structure of Hf2CoP (PBE).

```
data_Hf2CoP
_chemical_formula_sum 'Hf8 Co4 P4'
_cell_length_a 6.856
_cell_length_b 6.856
_cell_length_c 5.946
_cell_angle_alpha 90.00
_cell_angle_beta 90.00
_cell_angle_gamma 90.00
_symmetry_space_group_name_H-M 'I -4 2 d'
_symmetry_Int_Tables_number 122
_symmetry_space_group_name_Hall 'I -4 2bw'
loop_
_atom_site_label
_atom_site_type_symbol
_atom_site_fract_x
_atom_site_fract_y
_atom_site_fract_z
Hf1 Hf 0.240 0.250 0.125
Co1 Co 0.000 0.000 0.000
P1 P 0.000 0.000 0.500
```

Values from the calculation:
As for the magnetic moment: 0.00 μB/f.u.

---

On energetic grounds, entry b is preferred over the next structure by 0.336 eV/atom.